1.
A relaxed PmTm5Sc4 crystal. Source: Alexandria, functional PBE. Values from VASP.

crystal system = tetragonal
space-group type = I4 (79)
E = -49.07 eV for the cell shown
energy above the most stable polymorph in this dataset = 41 meV/atom
energy relative to the elements = 0.34 eV/atom
magnetic moment = 0.0 μB per formula unit

```
&SYSTEM
  ibrav = 0, nat = 10, ntyp = 3
/
ATOMIC_SPECIES
Pm 145.00 Pm.upf
Sc 44.96 Sc.upf
Tm 168.93 Tm.upf
ATOMIC_POSITIONS crystal
Pm 0.224 0.000 0.000
Sc 0.509 0.585 0.302
Sc 0.811 0.698 0.585
Sc 0.396 0.415 0.698
Sc 0.094 0.302 0.415
Tm 0.680 0.000 0.000
Tm 0.193 0.902 0.610
Tm 0.803 0.390 0.902
Tm 0.705 0.098 0.390
Tm 0.095 0.610 0.098
CELL_PARAMETERS angstrom
-1.489 -5.886 -0.759
0.181 -2.299 -7.192
5.889 -4.715 0.354
```



2.
A relaxed Y4PPdSe2 crystal. Source: Alexandria, functional PBE. Values from VASP.

ΔE_f (raw) = -1.4933 eV/atom
crystal system = monoclinic
space-group type = P2/m (10)
E = -55.37 eV for the cell shown
magnetic moment = 0.0 μB per formula unit

```
&SYSTEM
  ibrav = 0, nat = 8, ntyp = 4
/
ATOMIC_SPECIES
P 30.97 P.upf
Y 88.91 Y.upf
Pd 106.42 Pd.upf
Se 78.96 Se.upf
ATOMIC_POSITIONS crystal
P 0.000 0.500 0.500
Y 0.000 0.262 0.251
Y 0.500 0.266 0.738
Y 0.500 0.734 0.262
Y 0.000 0.738 0.749
Pd 0.500 0.500 0.000
Se 0.000 0.000 0.000
Se 0.500 0.000 0.500
CELL_PARAMETERS angstrom
-3.641 -0.819 -1.529
1.878 -6.807 -0.824
-1.678 -3.557 5.901
```



3.
A relaxed BeZnP2Br crystal. Source: Alexandria, functional PBE. Values from VASP.

ΔE_f (raw) = 0.4805 eV/atom
crystal system = tetragonal
space-group type = P4/mmm (123)
E = -15.09 eV for the cell shown
magnetic moment = 0.2 μB per formula unit

```
&SYSTEM
  ibrav = 0, nat = 5, ntyp = 4
/
ATOMIC_SPECIES
P 30.97 P.upf
Be 9.01 Be.upf
Zn 65.41 Zn.upf
Br 79.90 Br.upf
ATOMIC_POSITIONS crystal
P 0.500 0.000 0.000
P 0.000 0.000 0.500
Be 0.000 0.000 0.000
Zn 0.000 0.500 0.000
Br 0.500 0.500 0.500
CELL_PARAMETERS angstrom
-2.159 -2.156 2.625
5.122 -4.622 0.418
1.625 2.076 3.042
```



4.
A relaxed HfAl2CdS crystal. Source: Alexandria, functional PBE. Values from VASP.

ΔE_f (raw) = 0.3158 eV/atom
crystal system = tetragonal
space-group type = P4/mmm (123)
E = -20.90 eV for the cell shown
magnetic moment = 0.0 μB per formula unit

```
&SYSTEM
  ibrav = 0, nat = 5, ntyp = 4
/
ATOMIC_SPECIES
Al 26.98 Al.upf
Cd 112.41 Cd.upf
S 32.06 S.upf
Hf 178.49 Hf.upf
ATOMIC_POSITIONS crystal
Al 0.000 0.500 0.000
Al 0.500 0.000 0.000
Cd 0.500 0.500 0.500
S 0.000 0.000 0.500
Hf 0.000 0.000 0.000
CELL_PARAMETERS angstrom
-5.463 0.012 0.060
0.053 -1.640 5.211
0.026 4.580 1.441
```



5.
A relaxed CaZrNO2 crystal. Source: Alexandria, functional PBE. Values from VASP.

ΔE_f (raw) = -0.4712 eV/atom
crystal system = tetragonal
space-group type = P4/mmm (123)
E = -31.15 eV for the cell shown
magnetic moment = 0.7 μB per formula unit

```
&SYSTEM
  ibrav = 0, nat = 5, ntyp = 4
/
ATOMIC_SPECIES
Ca 40.08 Ca.upf
O 16.00 O.upf
N 14.01 N.upf
Zr 91.22 Zr.upf
ATOMIC_POSITIONS crystal
Ca 0.000 0.000 0.000
O 0.500 0.000 0.000
O 0.000 0.500 0.000
N 0.000 0.000 0.500
Zr 0.500 0.500 0.500
CELL_PARAMETERS angstrom
4.074 0.000 0.000
0.000 4.074 0.000
0.000 0.000 4.209
```



6.
A relaxed Li4Ag4Ge3 crystal. Source: Alexandria, functional PBE. Values from VASP.

crystal system = triclinic
space-group type = P-1 (2)
E = -35.03 eV for the cell shown
energy above the most stable polymorph in this dataset = 0 meV/atom
energy relative to the elements = -0.19 eV/atom
magnetic moment = 0.0 μB per formula unit

```
&SYSTEM
  ibrav = 0, nat = 11, ntyp = 3
/
ATOMIC_SPECIES
Ge 72.64 Ge.upf
Li 6.94 Li.upf
Ag 107.87 Ag.upf
ATOMIC_POSITIONS crystal
Ge 0.000 0.000 0.000
Ge 0.856 0.357 0.288
Ge 0.144 0.642 0.712
Li 0.552 0.550 0.899
Li 0.324 0.825 0.352
Li 0.676 0.175 0.648
Li 0.448 0.450 0.101
Ag 0.731 0.730 0.540
Ag 0.269 0.270 0.460
Ag 0.907 0.909 0.185
Ag 0.093 0.091 0.815
CELL_PARAMETERS angstrom
2.930 -0.015 0.239
-0.036 4.386 0.688
0.283 -0.023 14.399
```



7.
A relaxed Tl3FeBr crystal. Source: Alexandria, functional PBE. Values from VASP.

ΔE_f (raw) = 0.7410 eV/atom
crystal system = cubic
space-group type = Pm-3m (221)
E = -13.53 eV for the cell shown
energy above the most stable polymorph in this dataset = 693 meV/atom
magnetic moment = 3.2 μB per formula unit

```
&SYSTEM
  ibrav = 0, nat = 5, ntyp = 3
/
ATOMIC_SPECIES
Tl 204.38 Tl.upf
Br 79.90 Br.upf
Fe 55.84 Fe.upf
ATOMIC_POSITIONS crystal
Tl 0.500 0.000 0.000
Tl 0.000 0.000 0.500
Tl 0.000 0.500 0.000
Br 0.000 0.000 0.000
Fe 0.500 0.500 0.500
CELL_PARAMETERS angstrom
-0.694 5.549 -2.306
-5.106 0.679 3.171
3.167 2.311 4.606
```



8.
A relaxed Rb3CePu3S8 crystal. Source: Alexandria, functional PBE. Values from VASP.

ΔE_f (raw) = -1.6300 eV/atom
crystal system = trigonal
space-group type = R-3m (166)
E = -109.30 eV for the cell shown
magnetic moment = 15.0 μB per formula unit

```
&SYSTEM
  ibrav = 0, nat = 15, ntyp = 4
/
ATOMIC_SPECIES
Pu 244.00 Pu.upf
S 32.06 S.upf
Rb 85.47 Rb.upf
Ce 140.12 Ce.upf
ATOMIC_POSITIONS crystal
Pu 0.500 0.500 0.500
Pu 0.500 0.000 0.500
Pu 0.000 0.500 0.500
S 0.727 0.956 0.686
S 0.271 0.542 0.314
S 0.729 0.458 0.686
S 0.273 0.044 0.314
S 0.771 0.044 0.314
S 0.771 0.541 0.314
S 0.229 0.459 0.686
S 0.229 0.956 0.686
Rb 0.000 0.500 0.000
Rb 0.000 0.000 0.000
Rb 0.500 0.500 0.000
Ce 0.000 0.000 0.500
CELL_PARAMETERS angstrom
-7.401 0.648 -3.514
5.223 -5.847 -2.468
-3.949 -1.167 8.102
```



The highest E belongs to which entry?
Tl3FeBr